Entry P
PuThInPb: relaxed, PBE-GGA.

Results
For the theoretical density, the calculation gives 11.71 g cm⁻³.

Lattice parameters (Å, degrees): 4.690 4.898 4.927 90.00 90.00 90.00
Last column: magnetic moment on the atom in μB.
Fractional positions:
1 Pu 0.500 0.500 0.000  5.61
2 Th 0.500 0.000 0.500  0.40
3 In 0.000 0.000 0.000  -0.01
4 Pb 0.000 0.500 0.500  -0.04

Entry Q
PuThInPb: relaxed, PBE-GGA.

Results
For the theoretical density, the calculation gives 11.44 g cm⁻³.

Lattice parameters (Å, degrees): 5.472 5.472 5.472 60.00 60.00 60.00
Last column: magnetic moment on the atom in μB.
Fractional positions:
1 Pb 0.750 0.750 0.750  -0.01
2 In 0.250 0.250 0.250  -0.01
3 Th 0.500 0.500 0.500  0.19
4 Pu 0.000 0.000 0.000  5.49

Energy above the most stable structure, in meV/atom: entry P 0; entry Q 88